Record 1
ZrSb3Cl | PBE-GGA | relaxed

a = 5.184 Å, b = 5.184 Å, c = 5.184 Å
α = 90.00°, β = 90.00°, γ = 90.00°
Positions (direct):
Sb: 0.000 0.000 0.500
Sb: 0.500 0.000 0.000
Sb: 0.000 0.500 0.000
Cl: 0.000 0.000 0.000
Zr: 0.500 0.500 0.500

Results
Raw formation energy ... 0.659 eV/atom

Record 2
TmRh2O6 | PBE-GGA | relaxed

a = 4.979 Å, b = 5.473 Å, c = 5.473 Å
α = 120.00°, β = 90.00°, γ = 90.00°
Each line ends with the local moment (μB).
Positions (direct):
Tm: 0.500 0.000 0.000  0.14
O: 0.299 0.638 0.638  0.18
O: 0.701 0.000 0.638  0.18
O: 0.299 0.362 0.000  0.18
O: 0.299 0.000 0.362  0.18
O: 0.701 0.638 0.000  0.18
O: 0.701 0.362 0.362  0.18
Rh: 0.500 0.667 0.333  0.81
Rh: 0.500 0.333 0.667  0.81

Results
Raw formation energy ... -1.318 eV/atom

Record 3
HoPu2Th | PBE-GGA | relaxed

a = 3.479 Å, b = 3.479 Å, c = 11.367 Å
α = 81.20°, β = 81.20°, γ = 60.00°
Each line ends with the local moment (μB).
Positions (direct):
Pu: 0.252 0.252 0.245  5.45
Pu: 0.748 0.748 0.755  5.45
Ho: 0.500 0.500 0.500  0.26
Th: 0.000 0.000 0.000  -0.01

Results
Formation enthalpy at 0 K ... 0.183 eV per atom

Record 4
NbBRh2Pb | PBE-GGA | relaxed

a = 4.707 Å, b = 5.566 Å, c = 4.707 Å
α = 90.00°, β = 90.00°, γ = 90.00°
Positions (direct):
Rh: 0.000 0.000 0.500
Rh: 0.500 0.000 0.000
B: 0.500 0.500 0.500
Pb: 0.000 0.500 0.000
Nb: 0.000 0.000 0.000

Results
Formation enthalpy at 0 K ... 1.761 eV per atom

Record 5
Ba2TiO4 | PBE-GGA | relaxed

a = 7.773 Å, b = 6.236 Å, c = 12.003 Å
α = 62.63°, β = 90.00°, γ = 90.00°
Positions (direct):
O: 0.181 0.265 0.070
O: 0.755 0.334 0.191
O: 0.174 0.143 0.863
O: 0.245 0.666 0.809
O: 0.007 0.726 0.564
O: 0.326 0.143 0.363
O: 0.745 0.334 0.691
O: 0.993 0.274 0.436
O: 0.819 0.735 0.930
O: 0.674 0.857 0.637
O: 0.255 0.666 0.309
O: 0.826 0.857 0.137
O: 0.493 0.726 0.064
O: 0.507 0.274 0.936
O: 0.681 0.735 0.430
O: 0.319 0.265 0.570
Ba: 0.660 0.305 0.427
Ba: 0.497 0.024 0.199
Ba: 0.003 0.024 0.699
Ba: 0.840 0.305 0.927
Ba: 0.503 0.976 0.801
Ba: 0.997 0.976 0.301
Ba: 0.340 0.695 0.573
Ba: 0.160 0.695 0.073
Ti: 0.280 0.344 0.917
Ti: 0.720 0.656 0.083
Ti: 0.780 0.656 0.583
Ti: 0.220 0.344 0.417

Results
Raw formation energy ... -2.998 eV/atom

Record 6
Ag2B2F7 | PBE-GGA | relaxed

a = 6.190 Å, b = 5.242 Å, c = 5.242 Å
α = 101.69°, β = 85.27°, γ = 85.27°
Positions (direct):
F: 0.189 0.580 0.863
F: 0.868 0.687 0.687
F: 0.132 0.313 0.313
F: 0.811 0.137 0.420
F: 0.000 0.000 0.000
F: 0.189 0.863 0.580
F: 0.811 0.420 0.137
B: 0.065 0.759 0.759
B: 0.935 0.241 0.241
Ag: 0.500 0.828 0.172
Ag: 0.500 0.172 0.828

Results
Raw formation energy ... -2.067 eV/atom

Please write out number 4 again, unchanged.
NbBRh2Pb | PBE-GGA | relaxed

a = 4.707 Å, b = 5.566 Å, c = 4.707 Å
α = 90.00°, β = 90.00°, γ = 90.00°
Positions (direct):
Rh: 0.000 0.000 0.500
Rh: 0.500 0.000 0.000
B: 0.500 0.500 0.500
Pb: 0.000 0.500 0.000
Nb: 0.000 0.000 0.000

Results
Formation enthalpy at 0 K ... 1.761 eV per atom